#w
The following is a DFT calculation (PBE) of crystalline HoZr2Ga at its relaxed geometry.

Summary:
* spin magnetization: 0.0 μB per formula unit

Unit cell a=4.3321 b=4.2205 c=10.5252 alpha=90.00 beta=101.86 gamma=90.00
Closest atoms and distances in Å follow each position.
Space group P2_1/m (No. 11)
Symmetry-distinct sites (fractional):
Ho 0.1938 0.2500 0.3886 x2  5 Ga 3.01-3.11
Zr 0.0593 0.7500 0.1187 x2  2 Ga 2.99, 8 Zr 3.02-3.23
Zr 0.4434 0.7500 0.8868 x2  2 Ga 2.99, 8 Zr 3.02-3.22
Ga 0.3408 0.2500 0.6810 x2  4 Zr 2.99, 5 Ho 3.01-3.11

#x
The following is a DFT calculation (PBE) of crystalline HoZr2Ga at its relaxed geometry.

Summary:
* spin magnetization: 0.0 μB per formula unit

Unit cell a=3.3133 b=3.3133 c=29.5013 alpha=90.00 beta=90.00 gamma=120.00
Closest atoms and distances in Å follow each position.
Space group R3m (No. 160, hexagonal axes)
Symmetry-distinct sites (fractional):
Ho 0.0000 0.0000 0.0000 x3  6 Zr 3.29-3.31, 6 Ho 3.31
Zr 0.0000 0.0000 0.2418 x3  3 Ga 2.93
Zr 0.0000 0.0000 0.4243 x3  3 Ga 2.94
Ga 0.0000 0.0000 0.8332 x3  6 Zr 2.93-2.94

#w wins, 0.241 eV/atom ahead of the next structure.

#w
The following is a DFT calculation (PBE) of crystalline HoZr2Ga at its relaxed geometry.

Summary:
* spin magnetization: 0.0 μB per formula unit

Unit cell a=3.2357 b=3.2357 c=8.6992 alpha=90.00 beta=90.00 gamma=90.00
Closest atoms and distances in Å follow each position.
Space group P4/mmm (No. 123)
Symmetry-distinct sites (fractional):
Ho 0.0000 0.0000 0.0000 x1  4 Ho 3.24, 8 Zr 3.38
Zr 0.5000 0.5000 0.2861 x2  4 Ga 2.95, 4 Zr 3.24
Ga 0.0000 0.0000 0.5000 x1  8 Zr 2.95, 4 Ga 3.24

#x
The following is a DFT calculation (PBE) of crystalline HoZr2Ga at its relaxed geometry.

Summary:
* spin magnetization: 0.0 μB per formula unit

Unit cell a=4.4563 b=4.4563 c=4.4422 alpha=90.00 beta=90.00 gamma=90.00
Closest atoms and distances in Å follow each position.
Space group P4/mmm (No. 123)
Symmetry-distinct sites (fractional):
Ho 0.0000 0.0000 0.0000 x1  8 Zr 3.15, 4 Ga 3.15
Zr 0.0000 0.5000 0.5000 x2  4 Ho 3.15, 4 Ga 3.15, 4 Zr 3.15
Ga 0.5000 0.5000 0.0000 x1  8 Zr 3.15, 4 Ho 3.15

#x wins, 0.065 eV/atom ahead of the next structure.

#w
The following is a DFT calculation (PBE) of crystalline HoZrGa at its relaxed geometry.

Summary:
* spin magnetization: 0.0 μB per formula unit

Unit cell a=4.2411 b=4.2411 c=7.8747 alpha=90.00 beta=90.00 gamma=90.00
Closest atoms and distances in Å follow each position.
Space group P4/nmm (No. 129, origin choice 2)
Symmetry-distinct sites (fractional):
Ho 0.2500 0.2500 0.1509 x2  5 Ga 3.07-3.08
Zr 0.2500 0.7500 0.5000 x2  4 Ga 2.96, 4 Zr 3.00
Ga 0.2500 0.2500 0.7615 x2  4 Zr 2.96, 5 Ho 3.07-3.08

#x
The following is a DFT calculation (PBE) of crystalline HoZrGa at its relaxed geometry.

Summary:
* spin magnetization: 0.0 μB per formula unit

Unit cell a=3.3243 b=3.3243 c=12.4685 alpha=90.00 beta=90.00 gamma=90.00
Closest atoms and distances in Å follow each position.
Space group I4mm (No. 107)
Symmetry-distinct sites (fractional):
Ho 0.0000 0.0000 0.0000 x2  4 Ga 3.11, 4 Ho 3.32, 4 Zr 3.35
Zr 0.0000 0.0000 0.3087 x2  4 Ga 2.97
Ga 0.0000 0.0000 0.6637 x2  4 Zr 2.97, 4 Ho 3.11

#w wins, 0.127 eV/atom ahead of the next structure.

#w
The following is a DFT calculation (PBE) of crystalline HoZrGa2 at its relaxed geometry.

Summary:
* spin magnetization: 0.0 μB per formula unit

Unit cell a=3.5313 b=3.5313 c=24.8816 alpha=90.00 beta=90.00 gamma=120.00
Closest atoms and distances in Å follow each position.
Space group R-3m (No. 166, hexagonal axes)
Symmetry-distinct sites (fractional):
Ho 0.0000 0.0000 0.0000 x3  6 Ga 2.97
Zr 0.0000 0.0000 0.5000 x3  6 Ga 2.84
Ga 0.0000 0.0000 0.2463 x6  3 Zr 2.84, 3 Ho 2.97

#x
The following is a DFT calculation (PBE) of crystalline HoZrGa2 at its relaxed geometry.

Summary:
* spin magnetization: 0.0 μB per formula unit

Unit cell a=3.5821 b=3.5821 c=6.4672 alpha=90.00 beta=90.00 gamma=90.00
Closest atoms and distances in Å follow each position.
Space group P4/mmm (No. 123)
Symmetry-distinct sites (fractional):
Ho 0.0000 0.0000 0.0000 x1  8 Ga 3.09, 2 Zr 3.23
Zr 0.0000 0.0000 0.5000 x1  8 Ga 2.93, 2 Ho 3.23
Ga 0.5000 0.5000 0.2729 x2  4 Zr 2.93, 1 Ga 2.94, 4 Ho 3.09

#y
The following is a DFT calculation (PBE) of crystalline HoZrGa2 at its relaxed geometry.

Summary:
* spin magnetization: 0.0 μB per formula unit

Unit cell a=6.9162 b=6.9162 c=6.9162 alpha=90.00 beta=90.00 gamma=90.00
Closest atoms and distances in Å follow each position.
Space group Fm-3m (No. 225)
Symmetry-distinct sites (fractional):
Ho 0.0000 0.0000 0.0000 x4  8 Ga 2.99
Zr 0.0000 0.0000 0.5000 x4  8 Ga 2.99
Ga 0.2500 0.2500 0.2500 x8  4 Zr 2.99, 4 Ho 2.99

#x wins, 0.041 eV/atom ahead of the next structure.